Record 1
{
  "formula": "Li7SbO6",
  "functional": "SCAN",
  "state": "single point on PBEsol structure",
  "sg": "P1, No. 1",
  "final_energy_ev_per_atom": -8.58,
  "magmom_total_mub_per_cell": 0.00,
  "formation_energy_uncorrected_kj_per_mol_atoms": -197.7,
  "lattice": [[5.3406, 0.0000, 0.0000], [2.6500, 4.7291, 0.0000], [2.5278, 1.5568, 5.0012]],
  "species": ["Li", "Li", "Li", "Li", "Li", "Li", "Li", "Sb", "O", "O", "O", "O", "O", "O"],
  "fractional_positions": [[0.0000, 0.0000, 0.0000], [0.0194, 0.7540, 0.7497], [0.1399, 0.4895, 0.4370], [0.3231, 0.3547, 0.0006], [0.4370, 0.0943, 0.7323], [0.6252, 0.5936, 0.0052], [0.8730, 0.2063, 0.3726], [0.5273, 0.8404, 0.3868], [0.1515, 0.0721, 0.6141], [0.3076, 0.9547, 0.1233], [0.4137, 0.4854, 0.6106], [0.6109, 0.2174, 0.1764], [0.7567, 0.7642, 0.6212], [0.9076, 0.6189, 0.1469]]
}


Record 2
{
  "formula": "Cs2Li3Br5",
  "functional": "SCAN",
  "state": "single point on PBEsol structure",
  "sg": "C2/m, No. 12",
  "final_energy_ev_per_atom": -19.84,
  "magmom_total_mub_per_cell": 0.00,
  "formation_energy_uncorrected_kj_per_mol_atoms": -176.4,
  "lattice": [[7.7473, -2.1723, 0.0000], [7.7473, 2.1723, 0.0000], [-4.1252, 0.0000, 8.9480]],
  "species": ["Cs", "Cs", "Li", "Li", "Li", "Br", "Br", "Br", "Br", "Br"],
  "fractional_positions": [[0.1850, 0.1850, 0.2251], [0.8150, 0.8150, 0.7749], [0.0000, 0.0000, 0.5000], [0.4500, 0.4500, 0.2096], [0.5500, 0.5500, 0.7904], [0.1336, 0.1336, 0.7971], [0.4014, 0.4014, 0.5599], [0.5000, 0.5000, 0.0000], [0.5986, 0.5986, 0.4401], [0.8664, 0.8664, 0.2029]]
}


Record 3
{
  "formula": "NdSe3O12",
  "functional": "SCAN",
  "state": "single point on PBEsol structure",
  "sg": "P6_3/m, No. 176",
  "final_energy_ev_per_atom": -12.03,
  "magmom_total_mub_per_cell": 6.06,
  "formation_energy_uncorrected_kj_per_mol_atoms": -83.3,
  "lattice": [[9.4464, 0.0000, 0.0000], [-4.7232, 8.1808, 0.0000], [0.0000, 0.0000, 6.2827]],
  "species": ["Nd", "Nd", "Se", "Se", "Se", "Se", "Se", "Se", "O", "O", "O", "O", "O", "O", "O", "O", "O", "O", "O", "O", "O", "O", "O", "O", "O", "O", "O", "O", "O", "O", "O", "O"],
  "fractional_positions": [[0.3333, 0.6667, 0.2500], [0.6667, 0.3333, 0.7500], [0.0928, 0.3921, 0.7500], [0.2993, 0.9072, 0.7500], [0.3921, 0.2993, 0.2500], [0.6079, 0.7007, 0.7500], [0.7007, 0.0928, 0.2500], [0.9072, 0.6079, 0.2500], [0.0024, 0.1901, 0.7500], [0.0383, 0.5399, 0.2500], [0.1877, 0.9976, 0.7500], [0.1901, 0.1877, 0.2500], [0.2163, 0.4626, 0.5385], [0.2163, 0.4626, 0.9615], [0.2463, 0.7837, 0.5385], [0.2463, 0.7837, 0.9615], [0.4601, 0.4984, 0.2500], [0.4626, 0.2463, 0.0385], [0.4626, 0.2463, 0.4615], [0.4984, 0.0383, 0.7500], [0.5016, 0.9617, 0.2500], [0.5374, 0.7537, 0.5385], [0.5374, 0.7537, 0.9615], [0.5399, 0.5016, 0.7500], [0.7537, 0.2163, 0.0385], [0.7537, 0.2163, 0.4615], [0.7837, 0.5374, 0.0385], [0.7837, 0.5374, 0.4615], [0.8099, 0.8123, 0.7500], [0.8123, 0.0024, 0.2500], [0.9617, 0.4601, 0.7500], [0.9976, 0.8099, 0.2500]]
}


Record 4
{
  "formula": "In2AsPt8",
  "functional": "SCAN",
  "state": "single point on PBEsol structure",
  "e_form_ev_per_atom": -0.41,
  "sg": "P4/mmm, No. 123",
  "final_energy_ev_per_atom": -59.36,
  "magmom_total_mub_per_cell": 0.00,
  "lattice": [[3.9841, 0.0000, 0.0000], [0.0000, 3.9841, 0.0000], [0.0000, 0.0000, 11.1140]],
  "species": ["In", "In", "As", "Pt", "Pt", "Pt", "Pt", "Pt", "Pt", "Pt", "Pt"],
  "fractional_positions": [[0.0000, 0.0000, 0.1804], [0.0000, 0.0000, 0.8196], [0.5000, 0.5000, 0.5000], [0.0000, 0.5000, 0.0000], [0.0000, 0.5000, 0.3625], [0.0000, 0.5000, 0.6375], [0.5000, 0.0000, 0.0000], [0.5000, 0.0000, 0.3625], [0.5000, 0.0000, 0.6375], [0.5000, 0.5000, 0.1794], [0.5000, 0.5000, 0.8206]]
}


Record 5
{
  "formula": "Li2VF6",
  "functional": "SCAN",
  "state": "single point on PBEsol structure",
  "relative_energy_mev_per_atom": 0,
  "sg": "P4_2/mnm, No. 136",
  "final_energy_ev_per_atom": -7.99,
  "magmom_total_mub_per_cell": 2.00,
  "formation_energy_uncorrected_kj_per_mol_atoms": -304.6,
  "lattice": [[4.5863, 0.0000, 0.0000], [0.0000, 4.5863, 0.0000], [0.0000, 0.0000, 8.8672]],
  "species": ["Li", "Li", "Li", "Li", "V", "V", "F", "F", "F", "F", "F", "F", "F", "F", "F", "F", "F", "F"],
  "fractional_positions": [[0.0000, 0.0000, 0.1650], [0.0000, 0.0000, 0.8350], [0.5000, 0.5000, 0.3350], [0.5000, 0.5000, 0.6650], [0.0000, 0.0000, 0.5000], [0.5000, 0.5000, 0.0000], [0.1944, 0.1944, 0.3462], [0.1944, 0.1944, 0.6538], [0.2171, 0.2171, 0.0000], [0.2829, 0.7171, 0.5000], [0.3056, 0.6944, 0.1538], [0.3056, 0.6944, 0.8462], [0.6944, 0.3056, 0.1538], [0.6944, 0.3056, 0.8462], [0.7171, 0.2829, 0.5000], [0.7829, 0.7829, 0.0000], [0.8056, 0.8056, 0.3462], [0.8056, 0.8056, 0.6538]]
}


Record 6
{
  "formula": "CrSb2Pb",
  "functional": "SCAN",
  "state": "single point on PBEsol structure",
  "sg": "I-42d, No. 122",
  "final_energy_ev_per_atom": -41.98,
  "magmom_total_mub_per_cell": 6.69,
  "formation_energy_uncorrected_kj_per_mol_atoms": 18.1,
  "lattice": [[-3.0731, 3.0731, 6.8588], [3.0731, -3.0731, 6.8588], [3.0731, 3.0731, -6.8588]],
  "species": ["Cr", "Cr", "Sb", "Sb", "Sb", "Sb", "Pb", "Pb"],
  "fractional_positions": [[0.0000, 0.0000, 0.0000], [0.7500, 0.2500, 0.5000], [0.0620, 0.6250, 0.9370], [0.3750, 0.3120, 0.4370], [0.6880, 0.1250, 0.0630], [0.8750, 0.9380, 0.5630], [0.2500, 0.7500, 0.5000], [0.5000, 0.5000, 0.0000]]
}


Record 7
{
  "formula": "ZrBe2Nb",
  "functional": "SCAN",
  "state": "single point on PBEsol structure",
  "e_form_ev_per_atom": 0.00,
  "sg": "Fm-3m, No. 225",
  "final_energy_ev_per_atom": -18.13,
  "magmom_total_mub_per_cell": 0.00,
  "lattice": [[0.0000, 3.0555, 3.0555], [3.0555, 0.0000, 3.0555], [3.0555, 3.0555, 0.0000]],
  "species": ["Zr", "Be", "Be", "Nb"],
  "fractional_positions": [[0.0000, 0.0000, 0.0000], [0.2500, 0.2500, 0.2500], [0.7500, 0.7500, 0.7500], [0.5000, 0.5000, 0.5000]]
}


Record 8
{
  "formula": "Sb2TeIO",
  "functional": "SCAN",
  "state": "single point on PBEsol structure",
  "sg": "P4/mmm, No. 123",
  "final_energy_ev_per_atom": -29.40,
  "magmom_total_mub_per_cell": 3.80,
  "formation_energy_uncorrected_kj_per_mol_atoms": 149.5,
  "lattice": [[5.7885, 0.0000, 0.0000], [0.0000, 5.7885, 0.0000], [0.0000, 0.0000, 5.7544]],
  "species": ["Sb", "Sb", "Te", "I", "O"],
  "fractional_positions": [[0.0000, 0.5000, 0.0000], [0.5000, 0.0000, 0.0000], [0.0000, 0.0000, 0.5000], [0.0000, 0.0000, 0.0000], [0.5000, 0.5000, 0.5000]]
}


Record 9
{
  "formula": "GaSCl3",
  "functional": "SCAN",
  "state": "single point on PBEsol structure",
  "sg": "Pm-3m, No. 221",
  "final_energy_ev_per_atom": -10.14,
  "magmom_total_mub_per_cell": 2.33,
  "formation_energy_uncorrected_kj_per_mol_atoms": -15.6,
  "lattice": [[4.7953, 0.0000, 0.0000], [0.0000, 4.7953, 0.0000], [0.0000, 0.0000, 4.7953]],
  "species": ["Ga", "S", "Cl", "Cl", "Cl"],
  "fractional_positions": [[0.0000, 0.0000, 0.0000], [0.5000, 0.5000, 0.5000], [0.0000, 0.0000, 0.5000], [0.0000, 0.5000, 0.0000], [0.5000, 0.0000, 0.0000]]
}


Record 10
{
  "formula": "NaAgAsBr2",
  "functional": "SCAN",
  "state": "single point on PBEsol structure",
  "sg": "P4/mmm, No. 123",
  "final_energy_ev_per_atom": -19.18,
  "magmom_total_mub_per_cell": 1.98,
  "formation_energy_uncorrected_kj_per_mol_atoms": -22.9,
  "lattice": [[5.4567, 0.0000, 0.0000], [0.0000, 5.4567, 0.0000], [0.0000, 0.0000, 4.9144]],
  "species": ["Na", "Ag", "As", "Br", "Br"],
  "fractional_positions": [[0.0000, 0.0000, 0.0000], [0.5000, 0.5000, 0.5000], [0.5000, 0.5000, 0.0000], [0.0000, 0.5000, 0.5000], [0.5000, 0.0000, 0.5000]]
}


Record 11
{
  "formula": "MnBeAs2",
  "functional": "SCAN",
  "state": "single point on PBEsol structure",
  "e_form_ev_per_atom": 0.15,
  "relative_energy_mev_per_atom": 240,
  "sg": "Pmmm, No. 47",
  "final_energy_ev_per_atom": -15.60,
  "magmom_total_mub_per_cell": 3.45,
  "lattice": [[3.3744, 0.0000, 0.0000], [0.0000, 3.7708, 0.0000], [0.0000, 0.0000, 4.4190]],
  "species": ["Mn", "Be", "As", "As"],
  "fractional_positions": [[0.0000, 0.0000, 0.0000], [0.0000, 0.5000, 0.5000], [0.5000, 0.0000, 0.5000], [0.5000, 0.5000, 0.0000]]
}


Record 12
{
  "formula": "InRe2OsO",
  "functional": "SCAN",
  "state": "single point on PBEsol structure",
  "sg": "P4/mmm, No. 123",
  "final_energy_ev_per_atom": -46.94,
  "magmom_total_mub_per_cell": 7.68,
  "formation_energy_uncorrected_kj_per_mol_atoms": 366.7,
  "lattice": [[4.9139, 0.0000, 0.0000], [0.0000, 4.9139, 0.0000], [0.0000, 0.0000, 4.8043]],
  "species": ["In", "Re", "Re", "Os", "O"],
  "fractional_positions": [[0.0000, 0.0000, 0.0000], [0.0000, 0.5000, 0.0000], [0.5000, 0.0000, 0.0000], [0.0000, 0.0000, 0.5000], [0.5000, 0.5000, 0.5000]]
}